No. 1
Ac4CdAgIr2: optimized geometry, PBE.

Cell and atoms, written as extended XYZ:
```
16
Lattice="2.223 -6.903 0.000 2.223 6.903 0.000 0.000 0.000 16.601" Properties=species:S:1:pos:R:3 pbc="T T T"
Ac 0.000 0.000 0.000
Ac 0.000 0.000 8.300
Ac 2.223 3.059 9.748
Ac 2.223 3.059 15.153
Ac 2.223 0.270 4.150
Ac 2.223 -0.270 12.451
Ac 2.223 -3.059 1.447
Ac 2.223 -3.059 6.853
Cd 2.223 4.407 4.150
Cd 2.223 -4.407 12.451
Ag 2.223 4.456 12.451
Ag 2.223 -4.456 4.150
Ir 2.223 1.811 1.301
Ir 2.223 1.811 7.000
Ir 2.223 -1.811 9.601
Ir 2.223 -1.811 15.300
```

Properties
Formation energy from the elements: -332 meV/atom
Calculated volume: 31.85 Å³ per atom
M_tot: 0.000 Bohr magnetons per cell

=====

No. 2
Ac2La5CdAg2: optimized geometry, PBE.

Cell and atoms, written as extended XYZ:
```
20
Lattice="13.073 0.000 0.000 0.000 13.073 0.000 0.000 0.000 4.035" Properties=species:S:1:pos:R:3 pbc="T T T"
Ac 2.376 4.160 0.000
Ac 4.160 10.696 0.000
Ac 8.913 2.376 0.000
Ac 10.696 8.913 0.000
La 0.000 6.536 2.017
La 0.669 10.488 2.017
La 2.584 0.669 2.017
La 3.952 7.205 2.017
La 5.867 3.952 2.017
La 6.536 0.000 2.017
La 7.205 9.121 2.017
La 9.121 5.867 2.017
La 10.488 12.404 2.017
La 12.404 2.584 2.017
Cd 0.000 0.000 0.000
Cd 6.536 6.536 0.000
Ag 1.689 8.226 0.000
Ag 4.847 1.689 0.000
Ag 8.226 11.383 0.000
Ag 11.383 4.847 0.000
```

Properties
Formation energy from the elements: -170 meV/atom
Calculated volume: 34.48 Å³ per atom
M_tot: 0.000 Bohr magnetons per cell

=====

No. 3
LiAcCdAg2: optimized geometry, PBE.

Cell and atoms, written as extended XYZ:
```
10
Lattice="5.887 0.000 0.000 0.000 6.790 0.000 0.000 0.000 6.134" Properties=species:S:1:pos:R:3 pbc="T T T"
Li 0.000 0.000 0.000
Li 2.944 0.000 0.000
Ac 1.472 3.395 1.508
Ac 4.415 3.395 4.626
Cd 1.472 0.000 2.491
Cd 4.415 0.000 3.643
Ag 1.472 1.906 4.635
Ag 1.472 4.884 4.635
Ag 4.415 1.906 1.499
Ag 4.415 4.884 1.499
```

Properties
Formation energy from the elements: -192 meV/atom
Calculated volume: 24.52 Å³ per atom
M_tot: 0.000 Bohr magnetons per cell